Record 1
AlPtSe2: single point on PBEsol structure, meta-GGA SCAN.

The calculation puts the uncorrected energy at -117.07 eV per cell. For the uncorrected formation energy, the calculation gives 0.2580 eV/atom. The value obtained for the total magnetization is 0.0 μB/f.u.

abc: 4.583 4.583 4.583
angles: 60.00 60.00 60.00
Fractional coordinates of all 4 atoms:
Se1 0.000 0.000 0.000
Se2 0.250 0.250 0.250
Pt1 0.750 0.750 0.750
Al1 0.500 0.500 0.500

Record 2
CrFe4Ru: single point on PBEsol structure, meta-GGA SCAN.

The calculation puts the uncorrected energy at -125.16 eV per cell. The value obtained for the total magnetization is 5.6 μB/f.u.

abc: 4.560 4.560 4.560
angles: 60.00 60.00 60.00
Site moments in Bohr magnetons follow the coordinates.
Fractional coordinates of all 6 atoms:
Ru1 0.250 0.250 0.250  0.23
Fe1 0.126 0.625 0.625  2.12
Fe2 0.625 0.126 0.625  2.12
Fe3 0.625 0.625 0.625  2.12
Fe4 0.625 0.625 0.126  2.12
Cr1 0.000 0.000 0.000  -2.87

Record 3
Sr2YFeCu2O7: single point on PBEsol structure, meta-GGA SCAN.

The calculation puts the uncorrected energy at -388.67 eV per cell. For the uncorrected formation energy, the calculation gives -2.2917 eV/atom. The energy above the most stable polymorph in this dataset comes out at 0 meV/atom. The value obtained for the total magnetization is 4.6 μB/f.u.

abc: 5.370 5.435 11.979
angles: 103.11 102.95 90.00
Site moments in Bohr magnetons follow the coordinates.
Fractional coordinates of all 26 atoms:
Sr1 0.337 0.864 0.702  0.00
O1 0.798 0.809 0.124  -0.02
Y1 0.984 0.500 0.000  0.01
Cu1 0.913 0.930 0.861  -0.11
O2 0.140 0.138 0.351  0.21
O3 0.674 0.191 0.876  -0.02
Cu2 0.413 0.431 0.861  -0.11
Cu3 0.053 0.070 0.139  -0.11
O4 0.640 0.712 0.351  0.21
O5 0.666 0.687 0.871  -0.01
Fe1 0.777 0.681 0.500  3.93
Y2 0.484 0.000 0.000  0.01
Sr2 0.837 0.338 0.702  0.00
O6 0.634 0.361 0.500  0.29
O7 0.166 0.683 0.871  -0.01
Cu4 0.553 0.569 0.139  -0.11
O8 0.134 0.639 0.500  0.29
Sr3 0.135 0.662 0.298  0.00
O9 0.298 0.815 0.124  -0.02
O10 0.790 0.862 0.649  0.21
Fe2 0.277 0.319 0.500  3.93
Sr4 0.635 0.136 0.298  0.00
O11 0.174 0.185 0.876  -0.02
O12 0.796 0.313 0.129  -0.01
O13 0.296 0.317 0.129  -0.01
O14 0.290 0.288 0.649  0.21

Record 4
BaSrOs2: single point on PBEsol structure, meta-GGA SCAN.

The calculation puts the uncorrected energy at -203.21 eV per cell. The energy above the most stable polymorph in this dataset comes out at 0 meV/atom. The value obtained for the total magnetization is 0.2 μB/f.u.

abc: 3.520 3.520 9.261
angles: 90.00 90.00 90.00
Site moments in Bohr magnetons follow the coordinates.
Fractional coordinates of all 4 atoms:
Os1 0.000 0.000 0.105  0.08
Os2 0.500 0.500 0.152  0.06
Ba1 0.500 0.500 0.827  0.02
Sr1 0.000 0.000 0.417  -0.01